P:
Density functional theory data (PBE) for a relaxed SrNd2Os crystal.

abc: 4.1349 4.1349 11.3339
angles: 79.49 79.49 60.00
Atoms (fractional coordinates):
Nd (0.1212, 0.1212, 0.6364)
Nd (0.8788, 0.8788, 0.3636)
Os (0.5000, 0.5000, 0.5000)
Sr (0.0000, 0.0000, 0.0000)

Theoretical density = 5732 kg/m3

---

Q:
Density functional theory data (PBE) for a relaxed SrNd2Os crystal.

abc: 3.5595 3.5595 10.3806
angles: 90.00 90.00 90.00
Atoms (fractional coordinates):
Nd (0.0000, 0.0000, 0.8369)
Nd (0.0000, 0.0000, 0.1631)
Os (0.5000, 0.5000, 0.0000)
Sr (0.5000, 0.5000, 0.5000)

Theoretical density = 7150 kg/m3

---

Q is favored, and the nearest alternative lies 149 meV/atom above it.